A plane-wave DFT calculation with PBE with a Hubbard U was carried out for a geometry-optimized YCoOF2 structure.

a b c (Å): 3.9432 3.9432 4.0586
angles (deg): 90.00 90.00 90.00
Last column: nearest neighbours and their distance in Å.
Space group P4/mmm (No. 123)
Asymmetric unit:
Y (0.0000, 0.0000, 0.0000) x1  4 O 2.79, 8 F 2.83
Co (0.5000, 0.5000, 0.5000) x1  4 F 1.97, 2 O 2.03
O (0.5000, 0.5000, 0.0000) x1  2 Co 2.03
F (0.0000, 0.5000, 0.5000) x2  2 Co 1.97

* magnetic moment: 0.443 μB/atom
* uncorrected energy: -30.19 eV per formula unit